Tb5Ir3: relaxed, PBE.

```
data_Tb5Ir3
_chemical_formula_sum 'Tb20 Ir12'
_symmetry_space_group_name_H-M 'P 4/n c c'
_symmetry_Int_Tables_number 130
_cell_length_a 10.916
_cell_length_b 10.916
_cell_length_c 6.370
_cell_angle_alpha 90.00
_cell_angle_beta 90.00
_cell_angle_gamma 90.00
loop_
_symmetry_equiv_pos_as_xyz
'x,y,z'
'-x,-y,-z'
'-y+1/2,x,z'
'y+1/2,-x,-z'
'-x+1/2,-y+1/2,z'
'x+1/2,y+1/2,-z'
'y,-x+1/2,z'
'-y,x+1/2,-z'
'x+1/2,-y,-z+1/2'
'-x+1/2,y,z+1/2'
'-y,-x,-z+1/2'
'y,x,z+1/2'
'-x,y+1/2,-z+1/2'
'x,-y+1/2,z+1/2'
'y+1/2,x+1/2,-z+1/2'
'-y+1/2,-x+1/2,z+1/2'
loop_
_atom_site_label
_atom_site_type_symbol
_atom_site_fract_x
_atom_site_fract_y
_atom_site_fract_z
_atom_site_occupancy
Tb1 Tb 0.042 0.162 0.121 1
Tb2 Tb 0.250 0.750 0.000 1
Ir1 Ir 0.096 0.596 0.750 1
Ir2 Ir 0.250 0.250 0.377 1
```

For the energy, the calculation gives -223.99 eV for the cell shown. Its density is 12.0 g/cm³. As for the formation energy: -785.9 meV/atom.